1.
{"formula": "PmPrPS", "functional": "PBE", "state": "optimized geometry", "magmom_total_mub_per_fu": 0.00, "lattice": [[2.059, 1.189, 6.766], [-2.059, 1.189, 6.766], [0.000, -2.377, 6.766]], "species": ["Pm", "Pr", "P", "S"], "frac_coords": [[0.000, 0.000, 0.000], [0.505, 0.505, 0.505], [0.254, 0.254, 0.254], [0.751, 0.751, 0.751]]}

2.
{"formula": "UPaGa", "functional": "PBE", "state": "optimized geometry", "e_above_lowest_polymorph_kj_per_mol_atoms": 9.1, "magmom_total_mub_per_fu": 0.00, "formation_energy_mev_per_atom": 74, "lattice": [[4.360, 0.000, 0.000], [0.000, 4.360, 0.000], [0.000, 0.000, 7.117]], "species": ["U", "U", "Pa", "Pa", "Ga", "Ga"], "frac_coords": [[0.250, 0.750, 0.000], [0.750, 0.250, 0.000], [0.250, 0.250, 0.292], [0.750, 0.750, 0.708], [0.250, 0.250, 0.705], [0.750, 0.750, 0.295]]}

3.
{"formula": "Y2Tl3CuTe6", "functional": "PBE", "state": "optimized geometry", "magmom_total_mub_per_fu": 0.00, "lattice": [[3.832, -6.524, 0.000], [3.832, 6.524, 0.000], [-2.910, 0.000, 7.873]], "species": ["Y", "Y", "Tl", "Tl", "Tl", "Cu", "Te", "Te", "Te", "Te", "Te", "Te"], "frac_coords": [[0.160, 0.840, 0.000], [0.840, 0.160, 0.000], [0.000, 0.000, 0.500], [0.315, 0.685, 0.500], [0.685, 0.315, 0.500], [0.500, 0.500, 0.000], [0.135, 0.438, 0.807], [0.245, 0.245, 0.242], [0.438, 0.135, 0.807], [0.562, 0.865, 0.193], [0.755, 0.755, 0.758], [0.865, 0.562, 0.193]]}

4.
{"formula": "Er4Sn", "functional": "PBE", "state": "optimized geometry", "magmom_total_mub_per_fu": 0.71, "formation_energy_mev_per_atom": 303, "lattice": [[5.685, 0.000, 0.000], [0.000, 5.685, 0.000], [0.000, 0.000, 5.685]], "species": ["Er", "Er", "Er", "Er", "Sn"], "frac_coords": [[0.000, 0.000, 0.000], [0.000, 0.500, 0.500], [0.500, 0.000, 0.500], [0.500, 0.500, 0.000], [0.500, 0.500, 0.500]]}

5.
{"formula": "BaSrCeNbO6", "functional": "PBE", "state": "optimized geometry", "e_above_lowest_polymorph_kj_per_mol_atoms": 0.0, "magmom_total_mub_per_fu": 1.05, "lattice": [[6.046, 0.000, 0.000], [0.028, 6.069, 0.000], [0.056, 0.043, 8.556]], "species": ["Ba", "Ba", "Sr", "Sr", "Ce", "Ce", "Nb", "Nb", "O", "O", "O", "O", "O", "O", "O", "O", "O", "O", "O", "O"], "frac_coords": [[0.005, 0.022, 0.250], [0.995, 0.978, 0.750], [0.493, 0.531, 0.248], [0.507, 0.469, 0.752], [0.000, 0.500, 0.000], [0.500, 0.000, 0.500], [0.000, 0.500, 0.500], [0.500, 0.000, 0.000], [0.081, 0.494, 0.733], [0.206, 0.763, 0.469], [0.233, 0.797, 0.025], [0.265, 0.298, 0.452], [0.306, 0.272, 0.047], [0.440, 0.042, 0.766], [0.560, 0.958, 0.234], [0.694, 0.728, 0.953], [0.735, 0.702, 0.548], [0.767, 0.203, 0.975], [0.794, 0.237, 0.531], [0.919, 0.506, 0.267]]}

6.
{"formula": "CaAuIO2", "functional": "PBE", "state": "optimized geometry", "e_above_lowest_polymorph_kj_per_mol_atoms": 4.5, "magmom_total_mub_per_fu": 0.00, "lattice": [[4.368, 0.000, 0.000], [0.000, 4.368, 0.000], [0.000, 0.000, 5.333]], "species": ["Ca", "Au", "I", "O", "O"], "frac_coords": [[0.000, 0.000, 0.000], [0.500, 0.500, 0.500], [0.500, 0.500, 0.000], [0.000, 0.500, 0.500], [0.500, 0.000, 0.500]]}

no.,uncorrected energy (eV per atom)
1,-6.61
2,-7.86
3,-4.24
4,-4.15
5,-7.89
6,-3.70